# Re2RuRh

Re2RuRh after structural relaxation (PBE, the Alexandria database).

Values from the calculation:
Energy above the most stable polymorph in this dataset in meV per atom: 123.1
Energy relative to the elements in eV/atom: -0.024

a b c (Å): 5.447 7.782 2.728
angles (deg): 90.00 90.00 90.00
Space group Cmmm (No. 65)
One atom of each set of equivalent atoms:
Re 0.250 0.250 0.000
Ru 0.000 0.000 0.500
Rh 0.000 0.500 0.500